# 1
Compound: Cs2NaHg6Pd
Source: the Alexandria database
Functional: GGA-PBE
Structure: optimized geometry

The value obtained for the size of the total moment is 0.00 μB per cell. As for the density of states at the Fermi level: 10.4 states/eV per cell. Its total DFT energy (no corrections) is -0.0450 Ha/atom. The formation energy is -0.220 eV/atom. The crystal system is orthorhombic.

The structure belongs to space group Pmmn (No. 59, origin choice 2); the cell edges are 8.061, 10.971 and 8.069 Å and the angles 90.00°, 90.00° and 90.00°. The distinct sites, in fractional coordinates, are Cs at (0.250, 0.035, 0.224), Na at (0.250, 0.750, 0.863), Hg at (0.034, 0.250, 0.883), Hg at (0.066, 0.750, 0.514), Hg at (0.250, 0.003, 0.699) and Pd at (0.250, 0.250, 0.611).

***

# 2
Compound: CsNa2HgPd
Source: the Alexandria database
Functional: GGA-PBE
Structure: optimized geometry

The value obtained for the size of the total moment is 0.00 μB per cell. As for the density of states at the Fermi level: 3.1 states/eV per cell. Its total DFT energy (no corrections) is -0.0644 Ha/atom. Its excess energy over the best structure of this formula in the dataset is 159 meV/atom. The formation energy is 0.045 eV/atom. The crystal system is tetragonal.

The structure belongs to space group P4/mmm (No. 123); the cell edges are 5.816, 5.816 and 5.382 Å and the angles 90.00°, 90.00° and 90.00°. The distinct sites, in fractional coordinates, are Cs at (0.000, 0.000, 0.000), Na at (0.000, 0.500, 0.500), Hg at (0.500, 0.500, 0.500) and Pd at (0.500, 0.500, 0.000).

***

# 3
Compound: CsNaHg2Pt
Source: the Alexandria database
Functional: GGA-PBE
Structure: optimized geometry

The value obtained for the size of the total moment is 0.00 μB per cell. As for the density of states at the Fermi level: 1.4 states/eV per cell. Its total DFT energy (no corrections) is -0.0739 Ha/atom. The formation energy is -0.247 eV/atom. The crystal system is tetragonal.

The structure belongs to space group P4/mmm (No. 123); the cell edges are 5.466, 5.466 and 5.487 Å and the angles 90.00°, 90.00° and 90.00°. The distinct sites, in fractional coordinates, are Cs at (0.000, 0.000, 0.000), Na at (0.500, 0.500, 0.000), Hg at (0.000, 0.500, 0.500) and Pt at (0.500, 0.500, 0.500).

***

# 4
Compound: Cs3NaHg9Pt2
Source: the Alexandria database
Functional: GGA-PBE
Structure: optimized geometry

The value obtained for the size of the total moment is 0.00 μB per cell. As for the density of states at the Fermi level: 5.6 states/eV per cell. Its total DFT energy (no corrections) is -0.0542 Ha/atom. The formation energy is -0.229 eV/atom. The crystal system is trigonal.

The structure belongs to space group P-3m1 (No. 164); the cell edges are 8.0888, 8.0888 and 9.6807 Å and the angles 90.00°, 90.00° and 120.00°. The distinct sites, in fractional coordinates, are Cs at (0.0000, 0.0000, 0.0000), Cs at (0.3333, 0.6667, 0.6666), Na at (0.0000, 0.0000, 0.5000), Hg at (0.0000, 0.5000, 0.0000), Hg at (0.1788, 0.3576, 0.3198) and Pt at (0.3333, 0.6667, 0.1417).

***

# 5
Compound: CsRbNa2Hg2
Source: the Alexandria database
Functional: GGA-PBE
Structure: optimized geometry

The value obtained for the size of the total moment is 0.00 μB per cell. As for the density of states at the Fermi level: 1.7 states/eV per cell. Its total DFT energy (no corrections) is -0.0366 Ha/atom. The formation energy is -0.152 eV/atom. The crystal system is trigonal.

The structure belongs to space group P-3m1 (No. 164); the cell edges are 5.7158, 5.7158 and 9.2458 Å and the angles 90.00°, 90.00° and 120.00°. The distinct sites, in fractional coordinates, are Cs at (0.0000, 0.0000, 0.0000), Rb at (0.0000, 0.0000, 0.5000), Na at (0.3333, 0.6667, 0.7039) and Hg at (0.3333, 0.6667, 0.2818).

***

# 6
Compound: CsRb2NaHg
Source: the Alexandria database
Functional: GGA-PBE
Structure: optimized geometry

The value obtained for the size of the total moment is 0.00 μB per cell. As for the density of states at the Fermi level: 5.4 states/eV per cell. Its total DFT energy (no corrections) is -0.0329 Ha/atom. Its excess energy over the best structure of this formula in the dataset is 47 meV/atom. The formation energy is -0.014 eV/atom. The crystal system is tetragonal.

The structure belongs to space group P4/mmm (No. 123); the cell edges are 7.081, 7.081 and 7.301 Å and the angles 90.00°, 90.00° and 90.00°. The distinct sites, in fractional coordinates, are Cs at (0.000, 0.000, 0.000), Rb at (0.000, 0.500, 0.500), Na at (0.500, 0.500, 0.000) and Hg at (0.000, 0.000, 0.500).

***

# 7
Compound: CsRb5NaHg2
Source: the Alexandria database
Functional: GGA-PBE
Structure: optimized geometry

The value obtained for the size of the total moment is 0.00 μB per cell. As for the density of states at the Fermi level: 7.2 states/eV per cell. Its total DFT energy (no corrections) is -0.0332 Ha/atom. The formation energy is -0.058 eV/atom. The crystal system is tetragonal.

The structure belongs to space group P4/mmm (No. 123); the cell edges are 7.132, 7.132 and 13.315 Å and the angles 90.00°, 90.00° and 90.00°. The distinct sites, in fractional coordinates, are Cs at (0.000, 0.000, 0.000), Rb at (0.000, 0.500, 0.313), Rb at (0.500, 0.500, 0.000), Na at (0.500, 0.500, 0.500) and Hg at (0.500, 0.500, 0.264).

***

# 8
Compound: CsRb2NaHg
Source: the Alexandria database
Functional: GGA-PBE
Structure: optimized geometry

The value obtained for the size of the total moment is 0.00 μB per cell. As for the density of states at the Fermi level: 4.4 states/eV per cell. Its total DFT energy (no corrections) is -0.0346 Ha/atom. Its excess energy over the best structure of this formula in the dataset is 0 meV/atom. The formation energy is -0.060 eV/atom. The crystal system is tetragonal.

The structure belongs to space group P4/mmm (No. 123); the cell edges are 7.172, 7.172 and 6.447 Å and the angles 90.00°, 90.00° and 90.00°. The distinct sites, in fractional coordinates, are Cs at (0.000, 0.000, 0.000), Rb at (0.000, 0.500, 0.500), Na at (0.500, 0.500, 0.000) and Hg at (0.500, 0.500, 0.500).

***

# 9
Compound: Cs2RbNaHg2
Source: the Alexandria database
Functional: GGA-PBE
Structure: optimized geometry

The value obtained for the size of the total moment is 0.00 μB per cell. As for the density of states at the Fermi level: 8.2 states/eV per cell. Its total DFT energy (no corrections) is -0.0341 Ha/atom. The formation energy is -0.162 eV/atom. The crystal system is orthorhombic.

The structure belongs to space group Ibam (No. 72); the cell edges are 8.109, 19.498 and 7.980 Å and the angles 90.00°, 90.00° and 90.00°. The distinct sites, in fractional coordinates, are Cs at (0.237, 0.180, 0.000), Rb at (0.000, 0.500, 0.250), Na at (0.000, 0.000, 0.250) and Hg at (0.217, 0.110, 0.500).

***

# 10
Compound: CsRbNaHg
Source: the Alexandria database
Functional: GGA-PBE
Structure: optimized geometry

The value obtained for the size of the total moment is 0.00 μB per cell. As for the density of states at the Fermi level: 6.5 states/eV per cell. Its total DFT energy (no corrections) is -0.0359 Ha/atom. Its excess energy over the best structure of this formula in the dataset is 0 meV/atom. The formation energy is -0.117 eV/atom. The crystal system is monoclinic.

The structure belongs to space group Cm (No. 8); the cell edges are 9.564, 5.529 and 9.646 Å and the angles 90.00°, 109.23° and 90.00°. The distinct sites, in fractional coordinates, are Cs at (0.000, 0.000, 0.000), Rb at (0.184, 0.000, 0.552), Na at (0.431, 0.000, 0.292) and Hg at (0.263, 0.500, 0.288).

***

# 11
Compound: CsRbNa2Hg
Source: the Alexandria database
Functional: GGA-PBE
Structure: optimized geometry

The value obtained for the size of the total moment is 0.00 μB per cell. As for the density of states at the Fermi level: 4.3 states/eV per cell. Its total DFT energy (no corrections) is -0.0364 Ha/atom. Its excess energy over the best structure of this formula in the dataset is 8 meV/atom. The formation energy is -0.039 eV/atom. The crystal system is tetragonal.

The structure belongs to space group P4/mmm (No. 123); the cell edges are 6.344, 6.344 and 7.026 Å and the angles 90.00°, 90.00° and 90.00°. The distinct sites, in fractional coordinates, are Cs at (0.000, 0.000, 0.000), Rb at (0.500, 0.500, 0.000), Na at (0.000, 0.500, 0.500) and Hg at (0.000, 0.000, 0.500).

***

# 12
Compound: CsRb2NaHg
Source: the Alexandria database
Functional: GGA-PBE
Structure: optimized geometry

The value obtained for the size of the total moment is 0.00 μB per cell. As for the density of states at the Fermi level: 3.4 states/eV per cell. Its total DFT energy (no corrections) is -0.0316 Ha/atom. Its excess energy over the best structure of this formula in the dataset is 84 meV/atom. The formation energy is 0.023 eV/atom. The crystal system is tetragonal.

The structure belongs to space group P4/mmm (No. 123); the cell edges are 7.557, 7.557 and 6.081 Å and the angles 90.00°, 90.00° and 90.00°. The distinct sites, in fractional coordinates, are Cs at (0.000, 0.000, 0.000), Rb at (0.000, 0.500, 0.500), Na at (0.500, 0.500, 0.500) and Hg at (0.500, 0.500, 0.000).

***

# 13
Compound: Cs5Rb2NaHg2
Source: the Alexandria database
Functional: GGA-PBE
Structure: optimized geometry

The value obtained for the size of the total moment is 0.00 μB per cell. As for the density of states at the Fermi level: 19.8 states/eV per cell. Its total DFT energy (no corrections) is -0.0330 Ha/atom. The formation energy is -0.085 eV/atom. The crystal system is tetragonal.

The structure belongs to space group P4/mbm (No. 127); the cell edges are 16.656, 16.656 and 5.275 Å and the angles 90.00°, 90.00° and 90.00°. The distinct sites, in fractional coordinates, are Cs at (0.000, 0.500, 0.000), Cs at (0.063, 0.207, 0.000), Rb at (0.180, 0.680, 0.500), Na at (0.000, 0.000, 0.500) and Hg at (0.129, 0.371, 0.500).

***

# 14
Compound: CsRbNa2Hg
Source: the Alexandria database
Functional: GGA-PBE
Structure: optimized geometry

The value obtained for the size of the total moment is 0.00 μB per cell. As for the density of states at the Fermi level: 4.7 states/eV per cell. Its total DFT energy (no corrections) is -0.0367 Ha/atom. Its excess energy over the best structure of this formula in the dataset is 0 meV/atom. The formation energy is -0.047 eV/atom. The crystal system is tetragonal.

The structure belongs to space group P4/mmm (No. 123); the cell edges are 6.357, 6.357 and 6.877 Å and the angles 90.00°, 90.00° and 90.00°. The distinct sites, in fractional coordinates, are Cs at (0.000, 0.000, 0.000), Rb at (0.500, 0.500, 0.000), Na at (0.000, 0.500, 0.500) and Hg at (0.500, 0.500, 0.500).

***

# 15
Compound: CsRbNaHg
Source: the Alexandria database
Functional: GGA-PBE
Structure: optimized geometry

The value obtained for the size of the total moment is 0.00 μB per cell. As for the density of states at the Fermi level: 9.9 states/eV per cell. Its total DFT energy (no corrections) is -0.0345 Ha/atom. Its excess energy over the best structure of this formula in the dataset is 40 meV/atom. The formation energy is -0.078 eV/atom. The crystal system is cubic.

The structure belongs to space group F-43m (No. 216); the cell edges are 9.612, 9.612 and 9.612 Å and the angles 90.00°, 90.00° and 90.00°. The distinct sites, in fractional coordinates, are Cs at (0.000, 0.000, 0.000), Rb at (0.000, 0.000, 0.500), Na at (0.250, 0.250, 0.750) and Hg at (0.250, 0.250, 0.250).

***

# 16
Compound: Cs2RbNa2Hg
Source: the Alexandria database
Functional: GGA-PBE
Structure: optimized geometry

The value obtained for the size of the total moment is 0.00 μB per cell. As for the density of states at the Fermi level: 13.6 states/eV per cell. Its total DFT energy (no corrections) is -0.0369 Ha/atom. The formation energy is -0.070 eV/atom. The crystal system is orthorhombic.

The structure belongs to space group Ibam (No. 72); the cell edges are 11.331, 16.059 and 8.604 Å and the angles 90.00°, 90.00° and 90.00°. The distinct sites, in fractional coordinates, are Cs at (0.142, 0.186, 0.000), Rb at (0.000, 0.500, 0.250), Na at (0.189, 0.066, 0.500) and Hg at (0.000, 0.000, 0.250).

***

# 17
Compound: Cs4Rb2Na2Hg
Source: the Alexandria database
Functional: GGA-PBE
Structure: optimized geometry

The value obtained for the size of the total moment is 0.00 μB per cell. As for the density of states at the Fermi level: 6.9 states/eV per cell. Its total DFT energy (no corrections) is -0.0349 Ha/atom. The formation energy is -0.029 eV/atom. The crystal system is triclinic.

The structure belongs to space group P-1 (No. 2); the cell edges are 9.614, 9.633 and 9.805 Å and the angles 114.02°, 96.52° and 116.64°. The distinct sites, in fractional coordinates, are Cs at (0.194, 0.498, 0.192), Cs at (0.267, 0.004, 0.786), Rb at (0.285, 0.461, 0.669), Na at (0.262, 0.030, 0.275) and Hg at (0.500, 0.000, 0.500).

***

# 18
Compound: Cs2NaHgRu
Source: the Alexandria database
Functional: GGA-PBE
Structure: optimized geometry

The value obtained for the size of the total moment is 2.60 μB per cell. As for the density of states at the Fermi level: 7.9 states/eV per cell. Its total DFT energy (no corrections) is -0.0568 Ha/atom. The formation energy is 0.975 eV/atom. The crystal system is tetragonal.

The structure belongs to space group P4/mmm (No. 123); the cell edges are 6.957, 6.957 and 5.801 Å and the angles 90.00°, 90.00° and 90.00°. The distinct sites, in fractional coordinates, are Cs at (0.000, 0.500, 0.000), Na at (0.000, 0.000, 0.500), Hg at (0.000, 0.000, 0.000) and Ru at (0.500, 0.500, 0.500).

***

# 19
Compound: Cs2NaHgS
Source: the Alexandria database
Functional: GGA-PBE
Structure: optimized geometry

The value obtained for the size of the total moment is 0.00 μB per cell. As for the uncorrected formation energy: -0.59 eV per atom. As for the density of states at the Fermi level: 2.9 states/eV per cell. Its total DFT energy (no corrections) is -0.0765 Ha/atom. The crystal system is tetragonal.

The structure belongs to space group P4/mmm (No. 123); the cell edges are 6.910, 6.910 and 5.253 Å and the angles 90.00°, 90.00° and 90.00°. The distinct sites, in fractional coordinates, are Cs at (0.000, 0.500, 0.000), Na at (0.000, 0.000, 0.500), Hg at (0.500, 0.500, 0.500) and S at (0.000, 0.000, 0.000).

***

# 20
Compound: CsNaHg2Sb2
Source: the Alexandria database
Functional: GGA-PBE
Structure: optimized geometry

The value obtained for the size of the total moment is 0.00 μB per cell. As for the uncorrected formation energy: -0.32 eV per atom. As for the density of states at the Fermi level: 0.8 states/eV per cell. Its total DFT energy (no corrections) is -0.0793 Ha/atom. The crystal system is trigonal.

The structure belongs to space group P-3m1 (No. 164); the cell edges are 4.8915, 4.8915 and 10.0626 Å and the angles 90.00°, 90.00° and 120.00°. The distinct sites, in fractional coordinates, are Cs at (0.0000, 0.0000, 0.0000), Na at (0.0000, 0.0000, 0.5000), Hg at (0.3333, 0.6667, 0.3279) and Sb at (0.3333, 0.6667, 0.7189).